Computed, not measured: a crystal of CaTlOs2 relaxed with PBEsol at the meta-GGA SCAN level of DFT.

a = 4.6515 Å, b = 4.6515 Å, c = 4.6515 Å
α = 60.00°, β = 60.00°, γ = 60.00°
Last column: nearest neighbours and their distance in Å.
Positions (direct):
1 Os 0.2500 0.2500 0.2500  4 Ca 2.85, 4 Os 2.85
2 Os 0.0000 0.0000 0.0000  4 Tl 2.85, 4 Os 2.85
3 Ca 0.5000 0.5000 0.5000  4 Tl 2.85, 4 Os 2.85
4 Tl 0.7500 0.7500 0.7500  4 Os 2.85, 4 Ca 2.85

## Properties
DFT formation energy: 798 meV/atom
total energy: -55.65 eV/atom
distance to the lowest polymorph of the same formula: 0 meV per atom